{"formula": "LiTbAgGe", "functional": "PBE", "state": "relaxed", "lattice_angstrom": [[-2.4405, 0.0336, -4.1908], [1.9900, -1.9275, -3.9805], [-1.7465, -4.1411, -1.8223]], "species": ["Ge", "Tb", "Ag", "Li"], "frac_coords": [[0.2500, 0.2500, 0.2500], [0.0000, 0.0000, 0.0000], [0.7500, 0.7500, 0.7500], [0.5000, 0.5000, 0.5000]], "sg": "F-43m, No. 216", "ef_ev_per_atom": -0.447}